Record 1
This record from OQMD via LeMat-Bulk describes HfBeSi after structural relaxation. The functional is GGA-PBE.

For the energy relative to the lowest polymorph listed for this composition, the calculation gives 886 meV/atom.

It has space group P-62m (No. 189), with a = 7.1345 Å, b = 7.1345 Å, c = 3.7617 Å, α = 90.00°, β = 90.00° and γ = 120.00°. The distinct sites, in fractional coordinates, are Hf at (0.0000, 0.0000, 0.0000), Hf at (0.3333, 0.6667, 0.5000), Be at (0.0000, 0.4042, 0.0000) and Si at (0.0000, 0.2641, 0.5000).

Record 2
This record from OQMD via LeMat-Bulk describes CsTcO4 after structural relaxation. The functional is GGA-PBE.

It has space group Pnma (No. 62), with a = 5.6488 Å, b = 5.8322 Å, c = 14.2183 Å, α = 90.00°, β = 90.00° and γ = 90.00°. The distinct sites, in fractional coordinates, are Cs at (0.0278, 0.2500, 0.1259), Tc at (0.0368, 0.7500, 0.3784), O at (0.0073, 0.0065, 0.6899), O at (0.1625, 0.2500, 0.5286) and O at (0.1740, 0.2500, 0.9208).

Record 3
This record from OQMD via LeMat-Bulk describes LuZrNb2 after structural relaxation. The functional is GGA-PBE.

For the formation energy from the elements, the calculation gives 223 meV per atom.

It has space group F-43m (No. 216), with a = 6.9598 Å, b = 6.9598 Å, c = 6.9598 Å, α = 90.00°, β = 90.00° and γ = 90.00°. The distinct sites, in fractional coordinates, are Lu at (0.0000, 0.0000, 0.0000), Zr at (0.2500, 0.2500, 0.7500), Nb at (0.0000, 0.0000, 0.5000) and Nb at (0.2500, 0.2500, 0.2500).

Record 4
This record from OQMD via LeMat-Bulk describes TlTcAgTe2Se after structural relaxation. The functional is GGA-PBE.

For the energy relative to the lowest polymorph listed for this composition, the calculation gives 0 meV/atom.

It has space group P2_1/m (No. 11), with a = 8.3378 Å, b = 3.8751 Å, c = 10.2834 Å, α = 90.00°, β = 111.08° and γ = 90.00°. The distinct sites, in fractional coordinates, are Tl at (0.2381, 0.2500, 0.2281), Tc at (0.1832, 0.7500, 0.6592), Ag at (0.4376, 0.2500, 0.8854), Te at (0.2061, 0.7500, 0.9287), Te at (0.3848, 0.2500, 0.6091) and Se at (0.0304, 0.7500, 0.3903).

Record 5
This record from OQMD via LeMat-Bulk describes AcMoOs after structural relaxation. The functional is GGA-PBE.

For the formation energy from the elements, the calculation gives 1840 meV per atom. For the energy relative to the lowest polymorph listed for this composition, the calculation gives 938 meV/atom.

It has space group F-43m (No. 216), with a = 6.4891 Å, b = 6.4891 Å, c = 6.4891 Å, α = 90.00°, β = 90.00° and γ = 90.00°. The distinct sites, in fractional coordinates, are Ac at (0.0000, 0.0000, 0.0000), Mo at (0.2500, 0.2500, 0.7500) and Os at (0.2500, 0.2500, 0.2500).

Record 6
This record from OQMD via LeMat-Bulk describes LiLuCoBi after structural relaxation. The functional is GGA-PBE.

For the energy relative to the lowest polymorph listed for this composition, the calculation gives 251 meV/atom.

It has space group F-43m (No. 216), with a = 6.8603 Å, b = 6.8603 Å, c = 6.8603 Å, α = 90.00°, β = 90.00° and γ = 90.00°. The distinct sites, in fractional coordinates, are Li at (0.0000, 0.0000, 0.0000), Lu at (0.0000, 0.0000, 0.5000), Co at (0.2500, 0.2500, 0.7500) and Bi at (0.2500, 0.2500, 0.2500).

Number 1: E_tot -6.1462 eV/atom. Number 2: E_tot -6.8617 eV/atom. Number 3: E_tot -8.0915 eV/atom. Number 4: E_tot -4.3213 eV/atom. Number 5: E_tot -6.8869 eV/atom. Number 6: E_tot -4.4525 eV/atom.